[1]
38
Lattice="4.721 -8.225 0.000 4.721 8.225 0.000 -3.674 0.000 12.092" Properties=species:S:1:pos:R:3 comment="Ti4S8Cl6O | the Alexandria database | GGA-PBEsol | relaxed" dft_energy_ev_per_cell=-221.08 magnetic_moment_mub_per_fu=0.00 spacegroup="C2/c (15)" pbc="T T T"
Ti 1.062 5.208 10.331
Ti 0.566 0.499 3.498
Ti -1.271 -0.499 9.544
Ti 2.869 5.208 7.807
Ti 2.900 -5.208 4.285
Ti 7.040 0.499 2.548
Ti 5.203 -0.499 8.594
Ti 4.706 -5.208 1.761
S 3.392 7.131 3.961
S 4.214 7.131 2.085
S 1.570 1.091 1.413
S 2.020 2.451 2.870
S 1.086 3.612 8.555
S -0.267 -1.091 7.459
S 2.846 3.612 9.584
S 0.183 -2.451 8.916
S 5.586 2.451 3.176
S 2.923 -3.612 2.509
S 6.036 1.091 4.633
S 4.683 -3.612 3.537
S 3.749 -2.451 9.222
S 4.199 -1.091 10.679
S 1.555 -7.131 10.007
S 2.377 -7.131 8.131
Cl -0.076 1.743 5.600
Cl 4.132 4.022 0.008
Cl -1.913 -1.743 11.646
Cl 3.474 4.022 6.038
Cl 0.320 0.674 10.523
Cl 2.157 -0.674 4.476
Cl 3.612 0.674 7.616
Cl 5.449 -0.674 1.570
Cl 2.295 -4.022 6.054
Cl 7.682 1.743 0.446
Cl 1.636 -4.022 12.084
Cl 5.844 -1.743 6.492
O 1.966 6.465 9.069
O 3.803 -6.465 3.023

[2]
6
Lattice="3.748 0.000 0.000 0.000 3.748 0.000 0.000 0.000 7.524" Properties=species:S:1:pos:R:3 comment="SbClO | the Alexandria database | GGA-PBEsol | relaxed" dft_energy_ev_per_cell=-30.71 magnetic_moment_mub_per_fu=0.00 spacegroup="P4/nmm (129)" relative_energy_mev_per_atom=0 pbc="T T T"
Sb 0.937 0.937 1.228
Sb 2.811 2.811 6.296
Cl 0.937 0.937 4.978
Cl 2.811 2.811 2.546
O 0.937 2.811 0.000
O 2.811 0.937 0.000

[3]
5
Lattice="4.492 0.000 0.000 0.000 4.492 0.000 0.000 0.000 4.492" Properties=species:S:1:pos:R:3 comment="SbCl3O | the Alexandria database | GGA-PBEsol | relaxed" dft_energy_ev_per_cell=-13.97 magnetic_moment_mub_per_fu=0.04 spacegroup="Pm-3m (221)" pbc="T T T"
Sb 0.000 0.000 0.000
Cl 0.000 2.246 2.246
Cl 2.246 0.000 2.246
Cl 2.246 2.246 0.000
O 2.246 2.246 2.246

[4]
12
Lattice="3.343 0.000 0.000 -1.672 2.895 0.000 0.000 0.000 20.743" Properties=species:S:1:pos:R:3 comment="SbClO2 | the Alexandria database | GGA-PBEsol | relaxed" dft_energy_ev_per_cell=-45.60 magnetic_moment_mub_per_fu=0.90 spacegroup="R-3m (166)" pbc="T T T"
Sb 0.000 0.000 0.000
Sb 0.000 1.930 13.829
Sb 1.672 0.965 6.914
Cl 0.000 0.000 10.372
Cl 0.000 1.930 3.457
Cl 1.672 0.965 17.286
O 0.000 0.000 1.964
O 0.000 0.000 18.779
O 0.000 1.930 11.865
O 0.000 1.930 15.793
O 1.672 0.965 4.950
O 1.672 0.965 8.878

[5]
36
Lattice="7.914 0.000 0.000 0.000 10.929 0.000 -2.466 0.000 8.994" Properties=species:S:1:pos:R:3 comment="SbClO | the Alexandria database | GGA-PBEsol | relaxed" dft_energy_ev_per_cell=-183.49 magnetic_moment_mub_per_fu=0.00 spacegroup="P2_1/c (14)" relative_energy_mev_per_atom=21 pbc="T T T"
Sb -0.517 1.967 2.014
Sb -1.750 3.498 6.511
Sb 1.579 5.729 0.683
Sb 0.346 10.665 5.180
Sb 2.437 8.202 3.706
Sb 1.204 8.192 8.203
Sb 4.245 2.738 0.791
Sb 3.012 2.727 5.288
Sb 5.102 0.265 3.813
Sb 3.869 5.200 8.310
Sb 7.199 7.432 2.483
Sb 5.966 8.962 6.980
Cl -1.390 1.525 7.876
Cl -0.157 3.939 3.379
Cl 2.236 1.168 3.032
Cl 1.003 4.297 7.529
Cl 1.759 6.596 5.398
Cl 2.992 9.798 0.901
Cl 2.456 1.131 8.092
Cl 3.689 4.333 3.596
Cl 4.445 6.632 1.465
Cl 3.213 9.762 5.961
Cl 5.605 6.990 5.615
Cl 6.838 9.404 1.118
O -0.812 0.790 3.657
O -2.045 4.675 8.154
O -0.549 7.231 8.402
O 0.684 9.163 3.905
O 1.299 7.208 2.323
O 0.067 9.186 6.820
O 5.382 1.743 2.174
O 4.149 3.721 6.670
O 4.765 1.766 5.089
O 5.997 3.699 0.592
O 7.493 6.254 0.839
O 6.261 10.140 5.336

[6]
32
Lattice="17.568 0.000 0.000 0.000 5.583 0.000 0.000 0.000 6.151" Properties=species:S:1:pos:R:3 comment="ZnSb2Cl2O3 | the Alexandria database | GGA-PBEsol | relaxed" dft_energy_ev_per_cell=-162.08 magnetic_moment_mub_per_fu=0.00 spacegroup="Pnma (62)" pbc="T T T"
Zn 1.534 1.396 0.183
Zn 7.250 4.188 3.258
Zn 10.318 1.396 2.892
Zn 16.034 4.188 5.968
Sb 2.019 4.188 4.199
Sb 4.150 1.396 4.612
Sb 4.634 4.188 1.537
Sb 6.765 1.396 1.123
Sb 10.803 4.188 5.027
Sb 12.934 1.396 4.614
Sb 13.418 4.188 1.538
Sb 15.549 1.396 1.952
Cl 0.493 4.188 0.774
Cl 1.934 1.396 2.386
Cl 6.850 4.188 5.461
Cl 8.291 1.396 3.850
Cl 9.277 4.188 2.301
Cl 10.718 1.396 0.690
Cl 15.634 4.188 3.765
Cl 17.075 1.396 5.376
O 2.764 0.093 5.351
O 2.764 2.699 5.351
O 3.812 4.188 3.338
O 4.972 1.396 0.263
O 6.020 2.885 2.276
O 6.020 5.490 2.276
O 11.548 0.093 3.875
O 11.548 2.699 3.875
O 12.596 4.188 5.888
O 13.756 1.396 2.813
O 14.804 2.885 0.800
O 14.804 5.490 0.800

[7]
5
Lattice="5.545 0.000 0.000 0.000 5.545 0.000 0.000 0.000 4.690" Properties=species:S:1:pos:R:3 comment="ScTl2ClO | the Alexandria database | GGA-PBEsol | relaxed" dft_energy_ev_per_cell=-17.33 magnetic_moment_mub_per_fu=1.12 spacegroup="P4/mmm (123)" pbc="T T T"
Sc 0.000 0.000 0.000
Tl 0.000 2.773 2.345
Tl 2.773 0.000 2.345
Cl 0.000 0.000 2.345
O 2.773 2.773 0.000

[8]
5
Lattice="3.902 0.000 0.000 0.000 3.902 0.000 0.000 0.000 5.469" Properties=species:S:1:pos:R:3 comment="ScW2ClO | the Alexandria database | GGA-PBEsol | relaxed" dft_energy_ev_per_cell=-42.60 magnetic_moment_mub_per_fu=0.00 spacegroup="P4/mmm (123)" pbc="T T T"
Sc 0.000 0.000 0.000
W 0.000 1.951 2.734
W 1.951 0.000 2.734
Cl 1.951 1.951 0.000
O 1.951 1.951 2.734

[9]
20
Lattice="6.026 -2.711 0.000 6.026 2.711 0.000 -0.099 0.000 9.721" Properties=species:S:1:pos:R:3 comment="Tb5Se2Cl3O10 | the Alexandria database | GGA-PBEsol | relaxed" dft_energy_ev_per_cell=-143.93 magnetic_moment_mub_per_fu=0.00 spacegroup="C2/m (12)" pbc="T T T"
Tb 0.000 0.000 0.000
Tb 3.385 0.000 8.704
Tb 4.820 0.000 2.293
Tb 7.133 0.000 7.428
Tb 8.567 0.000 1.017
Se 1.060 0.000 3.123
Se 10.893 0.000 6.598
Cl 1.841 0.000 6.321
Cl 5.976 0.000 4.861
Cl 10.111 0.000 3.400
O 4.279 1.330 0.585
O 5.245 1.410 7.736
O 2.720 0.000 2.897
O 6.708 1.410 1.985
O 7.674 1.330 9.137
O 4.279 -1.330 0.585
O 5.245 -1.410 7.736
O 9.233 0.000 6.824
O 6.708 -1.410 1.985
O 7.674 -1.330 9.137

[10]
38
Lattice="6.099 -5.371 0.000 6.099 5.371 0.000 -3.318 0.000 14.755" Properties=species:S:1:pos:R:3 comment="Te3W2Se4Cl8O2 | the Alexandria database | GGA-PBEsol | relaxed" dft_energy_ev_per_cell=-187.22 magnetic_moment_mub_per_fu=2.07 spacegroup="C2/c (15)" pbc="T T T"
Te 3.611 4.448 11.066
Te 3.970 3.799 6.581
Te 6.570 3.799 0.796
Te 2.311 -3.799 13.959
Te 4.911 -3.799 8.173
Te 5.270 -4.448 3.689
W 3.156 0.126 12.903
W 4.066 0.126 9.229
W 4.815 -0.126 5.526
W 5.725 -0.126 1.852
Se -0.683 0.744 10.607
Se -1.583 0.439 14.433
Se 0.076 -0.439 7.056
Se 0.976 -0.744 3.230
Se 7.905 0.744 11.525
Se 8.804 0.439 7.699
Se 10.463 -0.439 0.321
Se 9.564 -0.744 4.148
Cl 1.880 2.071 12.694
Cl 2.188 1.467 8.689
Cl 4.451 1.864 1.655
Cl 2.928 1.164 5.080
Cl 5.342 2.071 9.438
Cl 6.088 1.864 5.723
Cl 1.269 -1.164 12.457
Cl 3.847 -1.467 1.312
Cl 5.034 1.467 13.443
Cl 7.612 1.164 2.297
Cl 2.792 -1.864 9.032
Cl 3.539 -2.071 5.316
Cl 5.953 -1.164 9.675
Cl 4.429 -1.864 13.100
Cl 6.693 -1.467 6.066
Cl 7.001 -2.071 2.061
O 3.611 0.179 11.066
O 6.099 0.000 0.000
O 4.440 0.000 7.377
O 5.270 -0.179 3.689

[11]
5
Lattice="3.880 0.000 0.000 0.000 3.880 0.000 0.000 0.000 5.878" Properties=species:S:1:pos:R:3 comment="TlSeClO2 | the Alexandria database | GGA-PBEsol | relaxed" dft_energy_ev_per_cell=-20.41 magnetic_moment_mub_per_fu=0.00 spacegroup="P4/mmm (123)" pbc="T T T"
Tl 0.000 0.000 0.000
Se 0.000 0.000 2.939
Cl 1.940 1.940 0.000
O 0.000 1.940 2.939
O 1.940 0.000 2.939

[12]
28
Lattice="6.378 3.683 4.313 -6.378 3.683 4.313 0.000 -7.365 4.313" Properties=species:S:1:pos:R:3 comment="Si2Cl2O3 | the Alexandria database | GGA-PBEsol | relaxed" dft_energy_ev_per_cell=-187.19 magnetic_moment_mub_per_fu=0.00 spacegroup="R-3 (148)" pbc="T T T"
Si -1.009 -5.038 5.207
Si -4.868 -1.645 7.731
Si 0.000 0.000 2.685
Si -3.859 3.393 5.207
Si 3.859 -3.393 7.731
Si 0.000 0.000 10.253
Si 4.868 1.645 5.207
Si 1.009 5.038 7.731
Cl -1.755 -3.293 5.875
Cl -3.729 -0.126 7.064
Cl 0.000 0.000 4.697
Cl -1.974 3.166 5.875
Cl 1.974 -3.166 7.064
Cl 0.000 0.000 8.242
Cl 3.729 0.126 5.875
Cl 1.755 3.293 7.064
O -1.045 -1.123 2.153
O -4.195 2.191 4.167
O 0.200 -4.728 4.167
O -0.450 1.467 2.153
O -3.995 -2.537 8.771
O 1.495 -0.344 2.153
O -1.495 0.344 10.786
O 3.995 2.537 4.167
O 0.450 -1.467 10.786
O -0.200 4.728 8.771
O 4.195 -2.191 8.771
O 1.045 1.123 10.786